Record 1
Sc8Cu2Au PBE optimized geometry; E = -0.42984 Ry/atom
1.0
-1.567 -2.717 -1.155
3.115 -4.402 6.131
-8.324 6.502 0.829
Au Sc Cu
1 8 2
direct
0.500 0.000 0.000
0.382 0.244 0.765
0.130 0.107 0.260
0.618 0.756 0.235
0.035 0.342 0.071
0.693 0.527 0.387
0.870 0.893 0.740
0.307 0.473 0.613
0.965 0.658 0.929
0.246 0.862 0.492
0.754 0.138 0.508

---

Record 2
NdAg7O12 PBE optimized geometry; formation energy (no corrections) = -0.37 eV per atom
1.0
6.904 0.000 0.000
-2.301 6.509 0.000
-2.301 -3.255 5.637
Ag Nd O
7 1 12
direct
0.500 0.000 0.000
0.000 0.000 0.500
0.500 0.000 0.500
0.500 0.500 0.000
0.000 0.500 0.500
0.500 0.500 0.500
0.000 0.500 0.000
0.000 0.000 0.000
0.298 0.835 0.133
0.133 0.298 0.835
0.165 0.867 0.702
0.835 0.133 0.298
0.867 0.702 0.165
0.702 0.835 0.538
0.298 0.165 0.462
0.538 0.702 0.835
0.165 0.462 0.298
0.462 0.298 0.165
0.702 0.165 0.867
0.835 0.538 0.702

---

Record 3
NpAlOs PBE optimized geometry; E = -0.69065 Ry/atom
1.0
3.054 0.000 0.000
0.000 3.054 0.000
-1.527 -1.527 5.741
Os Al Np
1 1 1
direct
0.681 0.681 0.361
0.305 0.305 0.611
0.014 0.014 0.028

---

Record 4
OsRh2Au PBE optimized geometry; relative energy among the computed polymorphs = 210 meV/atom
1.0
-1.953 1.953 3.921
1.953 -1.953 3.921
1.953 1.953 -3.921
Rh Au Os
2 1 1
direct
0.250 0.750 0.500
0.750 0.250 0.500
0.000 0.000 0.000
0.500 0.500 0.000

---

Record 5
Nd12IrAu6 PBE optimized geometry; E = -0.36576 Ry/atom
1.0
8.629 0.008 0.010
-1.300 8.531 0.010
-1.300 -1.515 8.395
Nd Au Ir
12 6 1
direct
0.426 0.578 0.183
0.068 0.962 0.318
0.682 0.932 0.038
0.578 0.183 0.426
0.318 0.068 0.962
0.038 0.682 0.932
0.962 0.318 0.068
0.183 0.426 0.578
0.932 0.038 0.682
0.817 0.574 0.422
0.574 0.422 0.817
0.422 0.817 0.574
0.306 0.132 0.625
0.375 0.694 0.868
0.625 0.306 0.132
0.694 0.868 0.375
0.868 0.375 0.694
0.132 0.625 0.306
0.000 0.000 0.000

---

Record 6
TiZnTcW PBE optimized geometry; E = -0.60158 Ry/atom
1.0
4.407 0.000 0.000
2.204 3.817 0.000
2.204 1.272 3.599
W Ti Tc Zn
1 1 1 1
direct
0.000 0.000 0.000
0.750 0.750 0.750
0.250 0.250 0.250
0.500 0.500 0.500

---

Record 7
KBaNb2Cl PBE optimized geometry; formation energy (no corrections) = 1.50 eV per atom
1.0
5.278 0.000 0.000
0.000 6.480 0.000
0.000 0.000 5.278
Nb Ba Cl K
2 1 1 1
direct
0.500 0.000 0.000
0.000 0.000 0.500
0.000 0.000 0.000
0.000 0.500 0.000
0.500 0.500 0.500

---

Record 8
La2PrSb PBE optimized geometry; relative energy among the computed polymorphs = 185 meV/atom; formation energy (no corrections) = -0.42 eV per atom
1.0
-2.706 3.181 0.351
-3.692 -0.162 -1.976
-6.190 -3.319 7.392
La Sb Pr
2 1 1
direct
0.265 0.265 0.206
0.069 0.069 0.794
0.667 0.667 0.000
0.500 0.500 0.500